No. 1
# GdYTlCo

GdYTlCo after structural relaxation (PBE, Alexandria via LeMat-Bulk).

Structure (extended XYZ):
```
4
Lattice="0.000 3.634 3.634 3.634 0.000 3.634 3.634 3.634 0.000" Properties=species:S:1:pos:R:3 pbc="T T T"
Gd 0.000 0.000 0.000
Y 3.634 3.634 3.634
Tl 1.817 1.817 1.817
Co 5.451 5.451 5.451
```

Its formation energy is -0.11 eV per atom. The crystal system is cubic.

=====

No. 2
# Nd2In8Ga

Nd2In8Ga after structural relaxation (PBE, Alexandria via LeMat-Bulk).

Structure (extended XYZ):
```
11
Lattice="4.813 0.000 0.000 0.000 4.813 0.000 0.000 0.000 12.582" Properties=species:S:1:pos:R:3 pbc="T T T"
Nd 0.000 0.000 2.319
Nd 0.000 0.000 10.263
In 0.000 2.406 0.000
In 0.000 2.406 4.656
In 0.000 2.406 7.926
In 2.406 0.000 0.000
In 2.406 0.000 4.656
In 2.406 0.000 7.926
In 2.406 2.406 2.306
In 2.406 2.406 10.276
Ga 0.000 0.000 6.291
```

Its formation energy is -0.29 eV per atom. The crystal system is tetragonal.

=====

No. 3
# Rb3CaSn2Br9

Rb3CaSn2Br9 after structural relaxation (PBE, Alexandria via LeMat-Bulk).

Structure (extended XYZ):
```
15
Lattice="8.231 0.000 0.000 -4.116 7.128 0.000 0.000 0.000 10.183" Properties=species:S:1:pos:R:3 pbc="T T T"
Rb 0.000 0.000 0.000
Rb 0.000 4.752 6.469
Rb 4.116 2.376 3.713
Ca 0.000 0.000 5.091
Sn 0.000 4.752 1.680
Sn 4.116 2.376 8.503
Br -2.058 3.564 0.000
Br 0.000 2.362 3.452
Br -2.070 5.948 3.452
Br 2.045 1.181 6.731
Br 4.116 0.000 0.000
Br 2.058 3.564 0.000
Br 2.070 5.948 3.452
Br 6.186 1.181 6.731
Br 4.116 4.767 6.731
```

The crystal system is trigonal. As for the formation energy from raw total energies: -1405 meV/atom.

=====

No. 4
# ZrCuCl2

ZrCuCl2 after structural relaxation (PBE, Alexandria via LeMat-Bulk).

Structure (extended XYZ):
```
4
Lattice="-1.585 2.338 7.162 1.585 -2.338 7.162 1.585 2.338 -7.162" Properties=species:S:1:pos:R:3 pbc="T T T"
Zr 0.000 0.000 0.000
Cu 0.000 0.000 7.162
Cl 1.585 0.000 2.039
Cl 0.000 2.338 5.122
```

The crystal system is orthorhombic. The energy relative to the lowest polymorph listed for this composition comes out at 65.9 meV per atom. As for the formation energy from raw total energies: -771 meV/atom.

=====

What did the third record say?
# Rb3CaSn2Br9

Rb3CaSn2Br9 after structural relaxation (PBE, Alexandria via LeMat-Bulk).

Structure (extended XYZ):
```
15
Lattice="8.231 0.000 0.000 -4.116 7.128 0.000 0.000 0.000 10.183" Properties=species:S:1:pos:R:3 pbc="T T T"
Rb 0.000 0.000 0.000
Rb 0.000 4.752 6.469
Rb 4.116 2.376 3.713
Ca 0.000 0.000 5.091
Sn 0.000 4.752 1.680
Sn 4.116 2.376 8.503
Br -2.058 3.564 0.000
Br 0.000 2.362 3.452
Br -2.070 5.948 3.452
Br 2.045 1.181 6.731
Br 4.116 0.000 0.000
Br 2.058 3.564 0.000
Br 2.070 5.948 3.452
Br 6.186 1.181 6.731
Br 4.116 4.767 6.731
```

The crystal system is trigonal. As for the formation energy from raw total energies: -1405 meV/atom.